*i*
Here is a geometry-optimized PuThSnHg structure from the Alexandria database. Energies are from PBE.

**Calculated volume**: 112 Å³ per cell
**Spin magnetization**: 6.49 μB per cell

Cell lengths 5.403, 5.403, 5.403 Å; angles 60.00, 60.00, 60.00 degrees
Sites, in units of the cell vectors:
Sn 0.750 0.750 0.750
Hg 0.250 0.250 0.250
Th 0.000 0.000 0.000
Pu 0.500 0.500 0.500

*ii*
Here is a geometry-optimized PuThSnHg structure from the Alexandria database. Energies are from PBE.

**Calculated volume**: 110 Å³ per cell
**Spin magnetization**: 6.05 μB per cell

Cell lengths 4.081, 4.081, 6.591 Å; angles 90.00, 90.00, 90.00 degrees
Sites, in units of the cell vectors:
Pu 0.000 0.000 0.347
Th 0.000 0.000 0.869
Sn 0.500 0.500 0.111
Hg 0.500 0.500 0.601

Short version: *ii* is the most stable of them.

*i*
Here is a geometry-optimized YPuSnHg structure from the Alexandria database. Energies are from PBE.

**Calculated volume**: 107 Å³ per cell
**Spin magnetization**: 6.64 μB per cell

Cell lengths 5.331, 5.331, 5.331 Å; angles 60.00, 60.00, 60.00 degrees
Sites, in units of the cell vectors:
Y 0.750 0.750 0.750
Hg 0.500 0.500 0.500
Sn 0.000 0.000 0.000
Pu 0.250 0.250 0.250

*ii*
Here is a geometry-optimized YPuSnHg structure from the Alexandria database. Energies are from PBE.

**Calculated volume**: 106 Å³ per cell
**Spin magnetization**: 6.08 μB per cell

Cell lengths 3.751, 3.751, 7.558 Å; angles 90.00, 90.00, 90.00 degrees
Sites, in units of the cell vectors:
Y 0.000 0.000 0.856
Pu 0.000 0.000 0.355
Sn 0.500 0.500 0.100
Hg 0.500 0.500 0.618

Short version: *i* is the most stable of them.

*i*
Here is a geometry-optimized Tb2PuHg structure from the Alexandria database. Energies are from PBE.

**Calculated volume**: 111 Å³ per cell
**Spin magnetization**: 6.34 μB per cell

Cell lengths 3.533, 3.533, 8.913 Å; angles 90.00, 90.00, 90.00 degrees
Sites, in units of the cell vectors:
Tb 0.000 0.000 0.770
Tb 0.000 0.000 0.230
Hg 0.500 0.500 0.000
Pu 0.500 0.500 0.500

*ii*
Here is a geometry-optimized Tb2PuHg structure from the Alexandria database. Energies are from PBE.

**Calculated volume**: 119 Å³ per cell
**Spin magnetization**: 6.54 μB per cell

Cell lengths 3.451, 3.451, 11.740 Å; angles 81.55, 81.55, 60.00 degrees
Sites, in units of the cell vectors:
Tb 0.095 0.095 0.715
Tb 0.905 0.905 0.285
Hg 0.500 0.500 0.500
Pu 0.000 0.000 0.000

*iii*
Here is a geometry-optimized Tb2PuHg structure from the Alexandria database. Energies are from PBE.

**Calculated volume**: 116 Å³ per cell
**Spin magnetization**: 6.56 μB per cell

Cell lengths 3.600, 3.600, 10.583 Å; angles 80.21, 80.21, 60.00 degrees
Sites, in units of the cell vectors:
Tb 0.078 0.078 0.766
Tb 0.256 0.256 0.233
Pu 0.500 0.500 0.501
Hg 0.667 0.667 0.000

Short version: *i* is the most stable of them.